Record 1
VASP calculation (PBE) on a relaxed structure of MnPIrN.

Structure (CIF):
```
data_MnPIrN
_cell_length_a 3.2459
_cell_length_b 3.2459
_cell_length_c 18.0690
_cell_angle_alpha 90.00
_cell_angle_beta 90.00
_cell_angle_gamma 120.00
_space_group_name_H-M_alt 'R 3 m'
_space_group_IT_number 160
_space_group_name_Hall 'R 3 -2"'
loop_
_atom_site_label
_atom_site_type_symbol
_atom_site_fract_x
_atom_site_fract_y
_atom_site_fract_z
Mn1 Mn 0.0000 0.0000 0.0000
P1 P 0.0000 0.0000 0.8090
Ir1 Ir 0.0000 0.0000 0.5438
N1 N 0.0000 0.0000 0.7179
```

Values from the calculation:
volume	13.75	A^3/atom
energy relative to the elements, uncorrected	-16.5	kJ per mole of atoms
offset from the most stable computed form	0.041	eV per atom
final energy	-8.11	eV per atom


Record 2
VASP calculation (PBE) on a relaxed structure of MnPIrN.

Structure (CIF):
```
data_MnPIrN
_cell_length_a 9.066
_cell_length_b 2.800
_cell_length_c 4.053
_cell_angle_alpha 90.00
_cell_angle_beta 108.95
_cell_angle_gamma 90.00
_space_group_name_H-M_alt 'C 1 m 1'
_space_group_IT_number 8
_space_group_name_Hall 'C -2y'
loop_
_atom_site_label
_atom_site_type_symbol
_atom_site_fract_x
_atom_site_fract_y
_atom_site_fract_z
Mn1 Mn 0.000 0.000 0.000
P1 P 0.216 0.000 0.753
Ir1 Ir 0.347 0.000 0.341
N1 N 0.083 0.500 0.692
```

Values from the calculation:
volume	12.17	A^3/atom
energy relative to the elements, uncorrected	7.9	kJ per mole of atoms
offset from the most stable computed form	0.294	eV per atom
final energy	-7.86	eV per atom


Record 3
VASP calculation (PBE) on a relaxed structure of MnPIrN.

Structure (CIF):
```
data_MnPIrN
_cell_length_a 3.1645
_cell_length_b 3.1645
_cell_length_c 5.8510
_cell_angle_alpha 90.00
_cell_angle_beta 90.00
_cell_angle_gamma 120.00
_space_group_name_H-M_alt 'P 3 m 1'
_space_group_IT_number 156
_space_group_name_Hall 'P 3 -2"'
loop_
_atom_site_label
_atom_site_type_symbol
_atom_site_fract_x
_atom_site_fract_y
_atom_site_fract_z
Mn1 Mn 0.0000 0.0000 0.0000
P1 P 0.0000 0.0000 0.3837
Ir1 Ir 0.3333 0.6667 0.6109
N1 N 0.6667 0.3333 0.0161
```

Values from the calculation:
volume	12.69	A^3/atom
energy relative to the elements, uncorrected	-12.7	kJ per mole of atoms
offset from the most stable computed form	0.081	eV per atom
final energy	-8.07	eV per atom